# 1
# VTc3O

A relaxed VTc3O crystal (PBE with a Hubbard U, Alexandria).

a b c (Å): 4.484 4.484 4.484
angles (deg): 90.00 90.00 90.00
Site moments in Bohr magnetons follow the coordinates.
Sites, in units of the cell vectors:
1 Tc 0.000 0.500 0.000  0.87
2 Tc 0.000 0.000 0.500  0.87
3 Tc 0.500 0.000 0.000  0.87
4 O 0.500 0.500 0.500  0.10
5 V 0.000 0.000 0.000  -0.51

Results
Its relative energy among the computed polymorphs is 10.52 eV per formula unit. As for the symmetry: Pm-3m, No. 221. Its calculated density is 6.648 g/cm³.

---

# 2
# NiTePO2

A relaxed NiTePO2 crystal (PBE with a Hubbard U, Alexandria).

a b c (Å): 3.865 3.865 4.475
angles (deg): 90.00 90.00 90.00
Site moments in Bohr magnetons follow the coordinates.
Sites, in units of the cell vectors:
1 Ni 0.000 0.000 0.000  0.89
2 Te 0.500 0.500 0.500  -0.01
3 O 0.000 0.500 0.000  -0.08
4 O 0.500 0.000 0.000  -0.08
5 P 0.000 0.000 0.500  -0.05

Results
Its relative energy among the computed polymorphs is 0.38 eV per formula unit. As for the symmetry: P4/mmm, No. 123. Its calculated density is 6.193 g/cm³.